No. 1
# TlAgHg2I6, optimized geometry, DFT PBE
data_TlAgHg2I6
_chemical_formula_sum 'Tl4 Ag4 Hg8 I24'
_cell_length_a 15.774
_cell_length_b 14.631
_cell_length_c 8.514
_cell_angle_alpha 90.00
_cell_angle_beta 111.13
_cell_angle_gamma 90.00
_symmetry_space_group_name_H-M 'C 1 2/c 1'
_symmetry_Int_Tables_number 15
_symmetry_space_group_name_Hall '-C 2yc'
loop_
_atom_site_label
_atom_site_type_symbol
_atom_site_fract_x
_atom_site_fract_y
_atom_site_fract_z
Tl1 Tl 0.000 0.131 0.250
Ag1 Ag 0.000 0.199 0.750
Hg1 Hg 0.187 0.428 0.196
I1 I 0.117 0.063 0.665
I2 I 0.124 0.421 0.479
I3 I 0.131 0.250 0.061
# - DFT total energy (eV/atom) = -1.846
# - ΔE_f (raw) (eV per formula unit) = -3.3
# - magnetic moment (μB/cell) = 0.00

---

No. 2
# TlAgHg2I, optimized geometry, DFT PBE
data_TlAgHg2I
_chemical_formula_sum 'Tl1 Ag1 Hg2 I1'
_cell_length_a 5.461
_cell_length_b 5.461
_cell_length_c 5.836
_cell_angle_alpha 90.00
_cell_angle_beta 90.00
_cell_angle_gamma 90.00
_symmetry_space_group_name_H-M 'P 4/m m m'
_symmetry_Int_Tables_number 123
_symmetry_space_group_name_Hall '-P 4 2'
loop_
_atom_site_label
_atom_site_type_symbol
_atom_site_fract_x
_atom_site_fract_y
_atom_site_fract_z
Tl1 Tl 0.000 0.000 0.000
Ag1 Ag 0.000 0.000 0.500
Hg1 Hg 0.000 0.500 0.500
I1 I 0.500 0.500 0.000
# - DFT total energy (eV/atom) = -1.567
# - ΔE_f (raw) (eV per formula unit) = -0.5
# - magnetic moment (μB/cell) = 0.00

---

No. 3
# Tl2AgHgI6, optimized geometry, DFT PBE
data_Tl2AgHgI6
_chemical_formula_sum 'Tl2 Ag1 Hg1 I6'
_cell_length_a 7.667
_cell_length_b 8.190
_cell_length_c 8.870
_cell_angle_alpha 64.94
_cell_angle_beta 64.74
_cell_angle_gamma 63.39
_symmetry_space_group_name_H-M 'P 1'
_symmetry_Int_Tables_number 1
_symmetry_space_group_name_Hall 'P 1'
loop_
_atom_site_label
_atom_site_type_symbol
_atom_site_fract_x
_atom_site_fract_y
_atom_site_fract_z
Tl1 Tl 0.000 0.000 0.000
Tl2 Tl 0.440 0.518 0.534
Ag1 Ag 0.752 0.613 0.834
Hg1 Hg 0.263 0.120 0.303
I1 I 0.100 0.402 0.952
I2 I 0.441 0.853 0.674
I3 I 0.503 0.333 0.193
I4 I 0.600 0.831 0.071
I5 I 0.896 0.366 0.630
I6 I 0.991 0.930 0.453
# - DFT total energy (eV/atom) = -2.056
# - ΔE_f (raw) (eV per formula unit) = -3.4
# - magnetic moment (μB/cell) = 0.00